{"formula": "PuThZnRu", "functional": "GGA-PBE", "state": "optimized geometry", "spacegroup": "F-43m, No. 216", "volume_a3_per_cell": 88, "e_form_ev_per_atom": -0.16, "total_energy_ev_per_atom": -8.24, "cell": [[0.000, 3.535, 3.535], [3.535, 0.000, 3.535], [3.535, 3.535, 0.000]], "species": ["Pu", "Th", "Zn", "Ru"], "fractional_positions": [[0.000, 0.000, 0.000], [0.500, 0.500, 0.500], [0.750, 0.750, 0.750], [0.250, 0.250, 0.250]]}